Crystalline Dy7Ho12Th at its relaxed geometry. Source: the Alexandria database, functional PBE-GGA.

The calculation puts the size of the total moment at 0.000 μB/atom. For the energy above the most stable polymorph in this dataset, the calculation gives 0.0000 eV per atom. The calculation puts the calculated density at 8.58 Mg/m³. The formation energy comes out at 0.24 eV/atom. As for the calculated total energy: -4.486 eV per atom.

a = 12.1451 Å, b = 12.1451 Å, c = 15.2291 Å
α = 90.00°, β = 90.00°, γ = 120.00°
Space group R-3 (No. 148, hexagonal axes)
Unique sites:
Dy 0.0000 0.0000 0.0000 [3 per cell]
Dy 0.0394 0.1856 0.3050 [18 per cell]
Ho 0.0133 0.4449 0.2038 [18 per cell]
Ho 0.0571 0.5868 0.5887 [18 per cell]
Th 0.0000 0.0000 0.5000 [3 per cell]